## ZrMn2Se (PBE-GGA)

Data for crystalline ZrMn2Se at its relaxed geometry.

Cell: 9.1653 3.3188 4.4832 Å, 90.00 106.69 90.00°
Positions (direct):
Zr 0.0000 0.0000 0.0000
Zr 0.5000 0.5000 0.0000
Mn 0.2404 0.0000 0.7349
Mn 0.2596 0.5000 0.2651
Mn 0.7404 0.5000 0.7349
Mn 0.7596 0.0000 0.2651
Se 0.0000 0.5000 0.5000
Se 0.5000 0.0000 0.5000

Computed properties:
Size of the total moment ... 1.331 μB per atom
Crystal system ... monoclinic
Formation energy from raw total energies ... -0.1070 eV/atom
Space-group type ... C2/m

=====

## Zr2MnSe2 (PBE-GGA)

Data for crystalline Zr2MnSe2 at its relaxed geometry.

Cell: 3.5541 3.5541 16.2475 Å, 90.00 90.00 90.00°
Positions (direct):
Zr 0.0000 0.0000 0.0998
Zr 0.0000 0.0000 0.9002
Zr 0.5000 0.5000 0.4002
Zr 0.5000 0.5000 0.5998
Mn 0.0000 0.0000 0.5000
Mn 0.5000 0.5000 0.0000
Se 0.0000 0.0000 0.3343
Se 0.0000 0.0000 0.6657
Se 0.5000 0.5000 0.1657
Se 0.5000 0.5000 0.8343

Computed properties:
Size of the total moment ... 0.511 μB per atom
Crystal system ... tetragonal
Formation energy from raw total energies ... -0.8551 eV/atom
Space-group type ... I4/mmm

=====

## ZrMnSe2 (PBE-GGA)

Data for crystalline ZrMnSe2 at its relaxed geometry.

Cell: 6.6781 6.6781 6.6781 Å, 90.00 90.00 90.00°
Positions (direct):
Zr 0.0000 0.0000 0.0000
Zr 0.0000 0.5000 0.5000
Zr 0.5000 0.0000 0.5000
Zr 0.5000 0.5000 0.0000
Mn 0.2500 0.2500 0.7500
Mn 0.2500 0.7500 0.2500
Mn 0.7500 0.2500 0.2500
Mn 0.7500 0.7500 0.7500
Se 0.0000 0.0000 0.5000
Se 0.0000 0.5000 0.0000
Se 0.2500 0.2500 0.2500
Se 0.2500 0.7500 0.7500
Se 0.5000 0.0000 0.0000
Se 0.5000 0.5000 0.5000
Se 0.7500 0.2500 0.7500
Se 0.7500 0.7500 0.2500

Computed properties:
Size of the total moment ... 0.730 μB per atom
Crystal system ... cubic
Formation energy from raw total energies ... 0.0238 eV/atom
Space-group type ... F-43m

=====

## Zr2MnSe2 (PBE-GGA)

Data for crystalline Zr2MnSe2 at its relaxed geometry.

Cell: 8.7420 8.7420 5.4463 Å, 94.68 94.68 32.84°
Positions (direct):
Zr 0.1419 0.1419 0.3261
Zr 0.3101 0.3101 0.1274
Zr 0.6899 0.6899 0.8726
Zr 0.8581 0.8581 0.6739
Mn 0.2639 0.2639 0.6485
Mn 0.7361 0.7361 0.3515
Se 0.1255 0.1255 0.8083
Se 0.4158 0.4158 0.7399
Se 0.5842 0.5842 0.2601
Se 0.8745 0.8745 0.1917

Computed properties:
Size of the total moment ... 0.216 μB per atom
Crystal system ... monoclinic
Formation energy from raw total energies ... -0.7517 eV/atom
Space-group type ... C2/m

=====

## Zr3Mn5Se12 (PBE-GGA)

Data for crystalline Zr3Mn5Se12 at its relaxed geometry.

Cell: 13.4023 13.4023 13.4023 Å, 109.47 109.47 109.47°
Positions (direct):
Zr 0.1250 0.2500 0.3750
Zr 0.1250 0.3750 0.7500
Zr 0.2500 0.3750 0.1250
Zr 0.2500 0.8750 0.6250
Zr 0.3750 0.1250 0.2500
Zr 0.3750 0.7500 0.1250
Zr 0.6250 0.2500 0.8750
Zr 0.6250 0.8750 0.7500
Zr 0.7500 0.1250 0.3750
Zr 0.7500 0.6250 0.8750
Zr 0.8750 0.6250 0.2500
Zr 0.8750 0.7500 0.6250
Mn 0.0000 0.0000 0.0000
Mn 0.0000 0.0000 0.5000
Mn 0.0000 0.5000 0.0000
Mn 0.0000 0.5000 0.5000
Mn 0.1250 0.7500 0.8750
Mn 0.1250 0.8750 0.2500
Mn 0.2500 0.1250 0.8750
Mn 0.2500 0.6250 0.3750
Mn 0.3750 0.2500 0.6250
Mn 0.3750 0.6250 0.7500
Mn 0.5000 0.0000 0.0000
Mn 0.5000 0.0000 0.5000
Mn 0.5000 0.5000 0.0000
Mn 0.5000 0.5000 0.5000
Mn 0.6250 0.3750 0.2500
Mn 0.6250 0.7500 0.3750
Mn 0.7500 0.3750 0.6250
Mn 0.7500 0.8750 0.1250
Mn 0.8750 0.1250 0.7500
Mn 0.8750 0.2500 0.1250
Se 0.0444 0.2189 0.1293
Se 0.0444 0.3255 0.9151
Se 0.0849 0.6293 0.4104
Se 0.0849 0.9556 0.6745
Se 0.0896 0.7189 0.6745
Se 0.0896 0.8707 0.4151
Se 0.1293 0.0444 0.2189
Se 0.1293 0.5849 0.9104
Se 0.1745 0.2189 0.5896
Se 0.1745 0.4556 0.5849
Se 0.2189 0.1293 0.0444
Se 0.2189 0.5896 0.1745
Se 0.2811 0.3255 0.9104
Se 0.2811 0.4556 0.3707
Se 0.3255 0.9104 0.2811
Se 0.3255 0.9151 0.0444
Se 0.3707 0.2811 0.4556
Se 0.3707 0.5896 0.9151
Se 0.4104 0.0849 0.6293
Se 0.4104 0.8255 0.7811
Se 0.4151 0.0896 0.8707
Se 0.4151 0.8255 0.5444
Se 0.4556 0.3707 0.2811
Se 0.4556 0.5849 0.1745
Se 0.5444 0.4151 0.8255
Se 0.5444 0.6293 0.7189
Se 0.5849 0.1745 0.4556
Se 0.5849 0.9104 0.1293
Se 0.5896 0.1745 0.2189
Se 0.5896 0.9151 0.3707
Se 0.6293 0.4104 0.0849
Se 0.6293 0.7189 0.5444
Se 0.6745 0.0849 0.9556
Se 0.6745 0.0896 0.7189
Se 0.7189 0.5444 0.6293
Se 0.7189 0.6745 0.0896
Se 0.7811 0.4104 0.8255
Se 0.7811 0.8707 0.9556
Se 0.8255 0.5444 0.4151
Se 0.8255 0.7811 0.4104
Se 0.8707 0.4151 0.0896
Se 0.8707 0.9556 0.7811
Se 0.9104 0.1293 0.5849
Se 0.9104 0.2811 0.3255
Se 0.9151 0.0444 0.3255
Se 0.9151 0.3707 0.5896
Se 0.9556 0.6745 0.0849
Se 0.9556 0.7811 0.8707

Computed properties:
Size of the total moment ... 1.136 μB per atom
Crystal system ... cubic
Formation energy from raw total energies ... -0.6751 eV/atom
Space-group type ... Ia-3d

=====

## Zr2MnSe (PBE-GGA)

Data for crystalline Zr2MnSe at its relaxed geometry.

Cell: 6.7112 6.7112 6.7112 Å, 90.00 90.00 90.00°
Positions (direct):
Zr 0.0000 0.0000 0.0000
Zr 0.0000 0.5000 0.5000
Zr 0.2500 0.2500 0.2500
Zr 0.2500 0.7500 0.7500
Zr 0.5000 0.0000 0.5000
Zr 0.5000 0.5000 0.0000
Zr 0.7500 0.2500 0.7500
Zr 0.7500 0.7500 0.2500
Mn 0.2500 0.2500 0.7500
Mn 0.2500 0.7500 0.2500
Mn 0.7500 0.2500 0.2500
Mn 0.7500 0.7500 0.7500
Se 0.0000 0.0000 0.5000
Se 0.0000 0.5000 0.0000
Se 0.5000 0.0000 0.0000
Se 0.5000 0.5000 0.5000

Computed properties:
Size of the total moment ... 0.450 μB per atom
Crystal system ... cubic
Formation energy from raw total energies ... 0.1793 eV/atom
Space-group type ... F-43m